# PBE SiPb3, relaxed
data_SiPb3
_cell_length_a 3.546
_cell_length_b 3.546
_cell_length_c 8.896
_cell_angle_alpha 90.00
_cell_angle_beta 90.00
_cell_angle_gamma 86.22
_symmetry_space_group_name_H-M 'P 1'
_symmetry_Int_Tables_number 1
loop_
_symmetry_equiv_pos_as_xyz
'x,y,z'
loop_
_atom_site_label
_atom_site_type_symbol
_atom_site_fract_x
_atom_site_fract_y
_atom_site_fract_z
_atom_site_occupancy
Pb1 Pb 0.500 0.500 0.750 1
Pb2 Pb 0.000 0.000 0.459 1
Si1 Si 0.500 0.500 0.250 1
Pb3 Pb 0.000 0.000 0.041 1
# Electronic total energy: -3.867 eV per atom
# Crystal system: orthorhombic
# Formation energy (no corrections): 270.5 meV/atom